The following is a DFT calculation (PBE-GGA) of an optimized crystal structure of AgHPd3.

As for the space group: C2/m, No. 12. Its energy above the most stable polymorph in this dataset is 7.5 kJ per mole of atoms.

Lattice parameters (Å, degrees): 16.568 7.382 7.382 158.21 153.83 26.17
Element x y z (fractional)
H 0.667 0.913 0.087
H 0.333 0.087 0.913
Pd 0.700 0.273 0.727
Pd 0.300 0.727 0.273
Pd 0.057 0.349 0.651
Pd 0.943 0.651 0.349
Pd 0.582 0.583 0.417
Pd 0.418 0.417 0.583
Ag 0.822 0.964 0.036
Ag 0.178 0.036 0.964